Record 1
Here is a relaxed LiLa2Tl2 crystal from Alexandria. Energies are from PBE.

Results
Mass density in g cm⁻³: 7.02
Distance to the lowest polymorph of the same formula in meV/atom: 193
Crystal system: tetragonal
E_tot in eV per atom: -3.440
Energy of formation in eV per atom: -0.140

Lattice parameters (Å, degrees): 9.696 9.696 3.492 90.00 90.00 90.00
Fractional coordinates of all 10 atoms:
Li 0.000 0.000 0.000
Li 0.500 0.500 0.000
La 0.131 0.369 0.000
La 0.369 0.869 0.000
La 0.631 0.131 0.000
La 0.869 0.631 0.000
Tl 0.168 0.668 0.500
Tl 0.332 0.168 0.500
Tl 0.668 0.832 0.500
Tl 0.832 0.332 0.500

Record 2
Here is a relaxed NaHo2P crystal from Alexandria. Energies are from PBE.

Results
Mass density in g cm⁻³: 4.99
Crystal system: trigonal
E_tot in eV per atom: -4.542
Energy of formation in eV per atom: -0.571

Lattice parameters (Å, degrees): 10.536 10.536 10.536 20.69 20.69 20.69
Fractional coordinates of all 4 atoms:
Na 0.000 0.000 0.000
Ho 0.115 0.115 0.115
Ho 0.885 0.885 0.885
P 0.500 0.500 0.500

Record 3
Here is a relaxed PmNdZnNi crystal from Alexandria. Energies are from PBE.

Results
Mass density in g cm⁻³: 7.46
Distance to the lowest polymorph of the same formula in meV/atom: 39
Crystal system: cubic
E_tot in eV per atom: -4.391
Energy of formation in eV per atom: -0.247

Lattice parameters (Å, degrees): 5.068 5.068 5.068 60.00 60.00 60.00
Fractional coordinates of all 4 atoms:
Pm 0.000 0.000 0.000
Nd 0.500 0.500 0.500
Zn 0.750 0.750 0.750
Ni 0.250 0.250 0.250

Record 4
Here is a relaxed RbHg2Bi2 crystal from Alexandria. Energies are from PBE.

Results
Mass density in g cm⁻³: 9.28
Distance to the lowest polymorph of the same formula in meV/atom: 111
Crystal system: tetragonal
E_tot in eV per atom: -1.938
Energy of formation in eV per atom: -0.072

Lattice parameters (Å, degrees): 9.371 9.371 3.685 90.00 90.00 90.00
Fractional coordinates of all 10 atoms:
Rb 0.000 0.000 0.000
Rb 0.500 0.500 0.000
Hg 0.152 0.348 0.000
Hg 0.348 0.848 0.000
Hg 0.652 0.152 0.000
Hg 0.848 0.652 0.000
Bi 0.141 0.641 0.500
Bi 0.359 0.141 0.500
Bi 0.641 0.859 0.500
Bi 0.859 0.359 0.500

Record 5
Here is a relaxed Ni6GeH4 crystal from Alexandria. Energies are from PBE.

Results
Mass density in g cm⁻³: 8.02
Crystal system: orthorhombic
E_tot in eV per atom: -4.853

Lattice parameters (Å, degrees): 4.779 4.779 14.217 90.00 90.00 146.82
Fractional coordinates of all 22 atoms:
Ni 0.000 0.000 0.000
Ni 0.000 0.000 0.500
Ni 0.112 0.888 0.750
Ni 0.278 0.722 0.083
Ni 0.278 0.722 0.417
Ni 0.451 0.549 0.643
Ni 0.451 0.549 0.857
Ni 0.549 0.451 0.143
Ni 0.549 0.451 0.357
Ni 0.722 0.278 0.583
Ni 0.722 0.278 0.917
Ni 0.888 0.112 0.250
Ge 0.179 0.821 0.250
Ge 0.821 0.179 0.750
H 0.089 0.911 0.612
H 0.089 0.911 0.888
H 0.350 0.650 0.540
H 0.350 0.650 0.960
H 0.650 0.350 0.040
H 0.650 0.350 0.460
H 0.911 0.089 0.112
H 0.911 0.089 0.388

Record 6
Here is a relaxed K3Ho3RhO8 crystal from Alexandria. Energies are from PBE.

Results
Mass density in g cm⁻³: 5.69
Crystal system: trigonal
Formation energy from raw total energies in meV per atom: -2360
E_tot in eV per atom: -6.630

Lattice parameters (Å, degrees): 7.380 7.380 7.380 54.24 54.24 54.24
Fractional coordinates of all 15 atoms:
K 0.000 0.500 0.500
K 0.500 0.000 0.500
K 0.500 0.500 0.000
Ho 0.000 0.000 0.500
Ho 0.000 0.500 0.000
Ho 0.500 0.000 0.000
Rh 0.500 0.500 0.500
O 0.227 0.227 0.227
O 0.249 0.713 0.713
O 0.287 0.287 0.751
O 0.287 0.751 0.287
O 0.713 0.249 0.713
O 0.713 0.713 0.249
O 0.751 0.287 0.287
O 0.773 0.773 0.773

Q: Look up the E_tot of the sixth one.
A: -6.630 eV per atom

Please write out number 3 again, unchanged.
Here is a relaxed PmNdZnNi crystal from Alexandria. Energies are from PBE.

Results
Mass density in g cm⁻³: 7.46
Distance to the lowest polymorph of the same formula in meV/atom: 39
Crystal system: cubic
E_tot in eV per atom: -4.391
Energy of formation in eV per atom: -0.247

Lattice parameters (Å, degrees): 5.068 5.068 5.068 60.00 60.00 60.00
Fractional coordinates of all 4 atoms:
Pm 0.000 0.000 0.000
Nd 0.500 0.500 0.500
Zn 0.750 0.750 0.750
Ni 0.250 0.250 0.250

Q: Look up the E_tot of the third one.
A: -4.391 eV per atom

What did the sixth record say?
Here is a relaxed K3Ho3RhO8 crystal from Alexandria. Energies are from PBE.

Results
Mass density in g cm⁻³: 5.69
Crystal system: trigonal
Formation energy from raw total energies in meV per atom: -2360
E_tot in eV per atom: -6.630

Lattice parameters (Å, degrees): 7.380 7.380 7.380 54.24 54.24 54.24
Fractional coordinates of all 15 atoms:
K 0.000 0.500 0.500
K 0.500 0.000 0.500
K 0.500 0.500 0.000
Ho 0.000 0.000 0.500
Ho 0.000 0.500 0.000
Ho 0.500 0.000 0.000
Rh 0.500 0.500 0.500
O 0.227 0.227 0.227
O 0.249 0.713 0.713
O 0.287 0.287 0.751
O 0.287 0.751 0.287
O 0.713 0.249 0.713
O 0.713 0.713 0.249
O 0.751 0.287 0.287
O 0.773 0.773 0.773